{
  "formula": "PuIn3Au2",
  "functional": "PBE",
  "state": "optimized geometry",
  "cell": [[-2.469, 3.699, 0.701], [-4.368, -1.801, -5.882], [-5.065, -4.345, 5.092]],
  "species": ["In", "In", "In", "In", "In", "In", "Pu", "Pu", "Au", "Au", "Au", "Au"],
  "frac_coords": [[0.500, 0.139, 0.811], [0.000, 0.978, 0.093], [0.000, 0.357, 0.304], [0.000, 0.478, 0.907], [0.000, 0.857, 0.696], [0.500, 0.639, 0.189], [0.500, 0.526, 0.579], [0.500, 0.026, 0.421], [0.500, 0.762, 0.882], [0.000, 0.238, 0.624], [0.000, 0.738, 0.376], [0.500, 0.262, 0.118]],
  "m_tot_mub_per_cell": 11.28,
  "dft_energy_ev_per_cell": -61.6,
  "relative_energy_ev_per_atom": 0.000,
  "dos_ef_per_ev_cell": 29.68,
  "formation_enthalpy_0k_ev_per_atom": -0.283
}